Material: TlCrPdF6
Method: DFT, PBE with a Hubbard U
State: optimized geometry

Structure (CIF):
```
data_TlCrPdF6
_chemical_formula_sum 'Tl2 Cr2 Pd2 F12'
_cell_length_a 5.623
_cell_length_b 9.696
_cell_length_c 5.919
_cell_angle_alpha 90.00
_cell_angle_beta 90.28
_cell_angle_gamma 90.00
_symmetry_space_group_name_H-M 'C 1 2 1'
_symmetry_Int_Tables_number 5
loop_
_symmetry_equiv_pos_as_xyz
'x,y,z'
'-x,y,-z'
'x+1/2,y+1/2,z'
'-x+1/2,y+1/2,-z'
loop_
_atom_site_label
_atom_site_fract_x
_atom_site_fract_y
_atom_site_fract_z
Tl1 0.000 0.000 0.000
Cr1 0.000 0.667 0.500
Pd1 0.000 0.333 0.500
F1 0.133 0.517 0.684
F2 0.160 0.807 0.684
F3 0.213 0.176 0.685
```

Computed properties:
- Size of the total moment: 1.0 μB per formula unit
- Electronic total energy: -4.933 eV/atom